An optimized crystal structure of CePr2Hg7, computed with PBE-GGA.

CIF file:
```
data_CePr2Hg7
_chemical_formula_sum 'Ce1 Pr2 Hg7'
_symmetry_space_group_name_H-M 'P 3 m 1'
_symmetry_Int_Tables_number 156
_symmetry_space_group_name_Hall 'P 3 -2"'
_cell_length_a 5.1707
_cell_length_b 5.1707
_cell_length_c 12.7409
_cell_angle_alpha 90.00
_cell_angle_beta 90.00
_cell_angle_gamma 120.00
loop_
_atom_site_label
_atom_site_fract_x
_atom_site_fract_y
_atom_site_fract_z
Ce1 0.0000 0.0000 0.0000
Pr1 0.3333 0.6667 0.6828
Pr2 0.6667 0.3333 0.3421
Hg1 0.0000 0.0000 0.2527
Hg2 0.0000 0.0000 0.7463
Hg3 0.3333 0.6667 0.4300
Hg4 0.3333 0.6667 0.9399
Hg5 0.6667 0.3333 0.0984
Hg6 0.6667 0.3333 0.5865
Hg7 0.6667 0.3333 0.8455
```

Summary:
* theoretical density: 10.279 Mg/m³
* DOS(E_F): 12.99 states/eV/f.u.
* formation energy: -0.240 eV/atom
* DFT total energy: -2.00 eV/atom